[1]
{
  "formula": "Tm3Mg5Hg2",
  "functional": "PBE",
  "state": "optimized geometry",
  "space_group": "Ibam",
  "lattice": [[6.1966, 0.0000, 0.0000], [3.0983, 8.9365, -1.5464], [3.0983, 0.8805, 9.0265]],
  "species": ["Mg", "Mg", "Mg", "Mg", "Tm", "Hg", "Mg", "Tm", "Hg", "Mg", "Tm", "Mg", "Hg", "Tm", "Tm", "Mg", "Mg", "Mg", "Hg", "Tm"],
  "frac_coords": [[0.3888, 0.7653, 0.4571], [0.2500, 0.5000, 0.5000], [0.8888, 0.4571, 0.7653], [0.6112, 0.2347, 0.5429], [0.6356, 0.6259, 0.1029], [0.6371, 0.0103, 0.7155], [0.7500, 0.5000, 0.5000], [0.8644, 0.8971, 0.3741], [0.8629, 0.2845, 0.9897], [0.5067, 0.7433, 0.7433], [0.2500, 0.0000, 0.0000], [0.0067, 0.7433, 0.7433], [0.1371, 0.7155, 0.0103], [0.7500, 0.0000, 0.0000], [0.1356, 0.1029, 0.6259], [0.9933, 0.2567, 0.2567], [0.1112, 0.5429, 0.2347], [0.4933, 0.2567, 0.2567], [0.3629, 0.9897, 0.2845], [0.3644, 0.3741, 0.8971]]
}

[2]
{
  "formula": "TmMg2Hg",
  "functional": "PBE",
  "state": "optimized geometry",
  "de_polymorph_mev_per_atom": 8.9,
  "space_group": "P4/mmm",
  "lattice": [[-0.4052, 4.6883, 1.1158], [-2.8015, 0.5572, -3.3588], [-3.3846, -0.9278, 2.6691]],
  "species": ["Mg", "Hg", "Mg", "Tm"],
  "frac_coords": [[0.0000, 0.0000, 0.5000], [0.5000, 0.0000, 0.0000], [0.0000, 0.5000, 0.0000], [0.5000, 0.5000, 0.5000]]
}

[3]
{
  "formula": "TmMg3Hg3",
  "functional": "PBE",
  "state": "optimized geometry",
  "space_group": "Pm-3n",
  "lattice": [[7.4871, 0.0000, 0.0000], [0.0000, 7.4871, 0.0000], [0.0000, 0.0000, 7.4871]],
  "species": ["Hg", "Tm", "Tm", "Mg", "Mg", "Hg", "Mg", "Hg", "Hg", "Hg", "Mg", "Mg", "Hg", "Mg"],
  "frac_coords": [[0.7500, 0.0000, 0.5000], [0.5000, 0.5000, 0.5000], [0.0000, 0.0000, 0.0000], [0.0000, 0.7500, 0.5000], [0.0000, 0.2500, 0.5000], [0.2500, 0.0000, 0.5000], [0.5000, 0.0000, 0.2500], [0.5000, 0.7500, 0.0000], [0.0000, 0.5000, 0.2500], [0.0000, 0.5000, 0.7500], [0.7500, 0.5000, 0.0000], [0.2500, 0.5000, 0.0000], [0.5000, 0.2500, 0.0000], [0.5000, 0.0000, 0.7500]]
}

[4]
{
  "formula": "TmMg2Hg4",
  "functional": "PBE",
  "state": "optimized geometry",
  "space_group": "R-3m",
  "lattice": [[4.6896, 0.0000, 1.4651], [2.1159, 4.1851, 1.4651], [-0.1029, -0.0633, 8.5671]],
  "species": ["Hg", "Hg", "Mg", "Hg", "Hg", "Tm", "Mg"],
  "frac_coords": [[0.6164, 0.6164, 0.1508], [0.8705, 0.8705, 0.3884], [0.7502, 0.7502, 0.7494], [0.1295, 0.1295, 0.6116], [0.3836, 0.3836, 0.8492], [0.0000, 0.0000, 0.0000], [0.2498, 0.2498, 0.2506]]
}

[5]
{
  "formula": "YTm2MgHg4",
  "functional": "PBE",
  "state": "optimized geometry",
  "space_group": "R-3m",
  "lattice": [[5.1205, 0.0000, 0.0000], [2.5602, 4.4345, 0.0000], [2.5602, 1.4782, 8.4962]],
  "species": ["Tm", "Hg", "Hg", "Tm", "Mg", "Y", "Hg", "Hg"],
  "frac_coords": [[0.2459, 0.2459, 0.2624], [0.3750, 0.3750, 0.8750], [0.1253, 0.1253, 0.6240], [0.7541, 0.7541, 0.7376], [0.5000, 0.5000, 0.5000], [0.0000, 0.0000, 0.0000], [0.6250, 0.6250, 0.1250], [0.8747, 0.8747, 0.3760]]
}

[6]
{
  "formula": "YTmMgHg",
  "functional": "PBE",
  "state": "optimized geometry",
  "de_polymorph_mev_per_atom": 18.5,
  "space_group": "F-43m",
  "lattice": [[-3.3864, -1.9674, 3.5233], [1.5937, -3.6816, 3.4143], [0.5217, 1.1912, 5.1049]],
  "species": ["Tm", "Hg", "Y", "Mg"],
  "frac_coords": [[0.2500, 0.2500, 0.2500], [0.0000, 0.0000, 0.0000], [0.7500, 0.7500, 0.7500], [0.5000, 0.5000, 0.5000]]
}

[7]
{
  "formula": "Y2TmMgHg4",
  "functional": "PBE",
  "state": "optimized geometry",
  "space_group": "R-3m",
  "lattice": [[-4.1223, -1.3495, -2.7670], [-1.4730, -4.9261, -0.1863], [-6.8340, -0.8633, 5.8191]],
  "species": ["Y", "Tm", "Hg", "Mg", "Hg", "Hg", "Y", "Hg"],
  "frac_coords": [[0.2456, 0.2456, 0.2632], [0.0000, 0.0000, 0.0000], [0.1241, 0.1241, 0.6277], [0.5000, 0.5000, 0.5000], [0.3725, 0.3725, 0.8825], [0.6275, 0.6275, 0.1175], [0.7544, 0.7544, 0.7368], [0.8759, 0.8759, 0.3723]]
}

[8]
{
  "formula": "YTmMg2Hg4",
  "functional": "PBE",
  "state": "optimized geometry",
  "space_group": "R-3m",
  "lattice": [[5.0521, 0.0000, 0.0000], [2.5261, 4.3752, 0.0000], [2.5261, 1.4584, 8.2767]],
  "species": ["Y", "Tm", "Hg", "Hg", "Hg", "Hg", "Mg", "Mg"],
  "frac_coords": [[0.0000, 0.0000, 0.0000], [0.5000, 0.5000, 0.5000], [0.6233, 0.6233, 0.1302], [0.1259, 0.1259, 0.6223], [0.8741, 0.8741, 0.3777], [0.3767, 0.3767, 0.8698], [0.2499, 0.2499, 0.2503], [0.7501, 0.7501, 0.7497]]
}

[9]
{
  "formula": "YTmMgHg",
  "functional": "PBE",
  "state": "optimized geometry",
  "de_polymorph_mev_per_atom": 0.0,
  "space_group": "P4mm",
  "lattice": [[-0.4644, -3.1764, -1.9660], [3.5326, 0.2707, -1.2719], [2.3647, -3.8974, 5.7384]],
  "species": ["Hg", "Mg", "Tm", "Y"],
  "frac_coords": [[0.5000, 0.5000, 0.1152], [0.5000, 0.5000, 0.6016], [0.0000, 0.0000, 0.3505], [0.0000, 0.0000, 0.8607]]
}

[10]
{
  "formula": "MgUHg",
  "functional": "PBE",
  "state": "optimized geometry",
  "space_group": "Cmcm",
  "lattice": [[-2.5420, 1.6175, 0.8570], [-2.6160, -2.2570, -3.4998], [-0.7727, -6.9169, 5.0383]],
  "species": ["Hg", "Hg", "Mg", "U", "U", "Mg"],
  "frac_coords": [[0.5823, 0.7500, 0.1647], [0.4177, 0.2500, 0.8353], [0.0747, 0.2500, 0.1493], [0.2481, 0.7500, 0.4962], [0.7519, 0.2500, 0.5038], [0.9253, 0.7500, 0.8507]]
}

[11]
{
  "formula": "Mg2VHg",
  "functional": "PBE",
  "state": "optimized geometry",
  "space_group": "R-3m",
  "lattice": [[-1.5966, -1.0635, -2.3313], [-1.5542, -2.5729, 0.2831], [-9.4115, 4.1973, 2.5759]],
  "species": ["Mg", "Mg", "Hg", "V"],
  "frac_coords": [[0.0875, 0.0875, 0.7375], [0.9125, 0.9125, 0.2625], [0.5000, 0.5000, 0.5000], [0.0000, 0.0000, 0.0000]]
}

[12]
{
  "formula": "Mg3VHg",
  "functional": "PBE",
  "state": "optimized geometry",
  "de_polymorph_mev_per_atom": 0.0,
  "space_group": "Pm-3m",
  "lattice": [[-3.5964, -1.5635, -3.3360], [-1.8832, -3.2267, 3.5425], [-3.1665, 3.6948, 1.6821]],
  "species": ["Hg", "V", "Mg", "Mg", "Mg"],
  "frac_coords": [[0.0000, 0.0000, 0.0000], [0.5000, 0.5000, 0.5000], [0.0000, 0.5000, 0.0000], [0.5000, 0.0000, 0.0000], [0.0000, 0.0000, 0.5000]]
}

no.,calculated formation energy (eV per atom),density of states at the Fermi level (states/eV/atom)
1,-0.0682,0.669
2,-0.2323,0.599
3,0.2964,0.955
4,-0.2624,0.391
5,-0.4605,0.421
6,-0.2713,1.063
7,-0.4796,0.352
8,-0.4536,0.267
9,-0.2899,1.036
10,0.0318,1.242
11,0.4981,0.715
12,0.6768,1.040